## PrYSe2 (PBE-GGA)

Data for crystalline PrYSe2 at its relaxed geometry.

The raw total energy comes out at -6.36 eV/atom. As for the crystal system: monoclinic.

The structure belongs to space group C2/m (No. 12); the cell edges are 7.154, 4.142 and 7.323 Å and the angles 90.00°, 109.11° and 90.00°. The distinct sites, in fractional coordinates, are Pr at (0.000, 0.000, 0.000), Y at (0.000, 0.500, 0.500) and Se at (0.245, 0.000, 0.733).



## Pr2ZnSe2 (PBE-GGA)

Data for crystalline Pr2ZnSe2 at its relaxed geometry.

The raw total energy comes out at -4.35 eV/atom. As for the crystal system: orthorhombic.

The structure belongs to space group Fddd (No. 70, origin choice 2); the cell edges are 4.227, 16.328 and 17.667 Å and the angles 90.00°, 90.00° and 90.00°. The distinct sites, in fractional coordinates, are Pr at (0.000, 0.000, 0.000), Zn at (0.125, 0.125, 0.125) and Se at (0.125, 0.287, 0.625).



## Pr2ZrSe5 (PBE-GGA)

Data for crystalline Pr2ZrSe5 at its relaxed geometry.

The raw total energy comes out at -6.14 eV/atom. As for the crystal system: orthorhombic.

The structure belongs to space group Pnma (No. 62); the cell edges are 12.228, 8.406 and 7.772 Å and the angles 90.00°, 90.00° and 90.00°. The distinct sites, in fractional coordinates, are Pr at (0.177, 0.003, 0.037), Zr at (0.009, 0.750, 0.578), Se at (0.005, 0.750, 0.946), Se at (0.085, 0.038, 0.667), Se at (0.184, 0.750, 0.342) and Se at (0.207, 0.250, 0.323).



## PrSi (PBE-GGA)

Data for crystalline PrSi at its relaxed geometry.

The raw total energy comes out at -5.51 eV/atom. As for the crystal system: trigonal.

The structure belongs to space group R-3m (No. 166, hexagonal axes); the cell edges are 4.2502, 4.2502 and 10.7596 Å and the angles 90.00°, 90.00° and 120.00°. The distinct sites, in fractional coordinates, are Pr at (0.0000, 0.0000, 0.0000) and Si at (0.0000, 0.0000, 0.5000).



## PrSi (PBE-GGA)

Data for crystalline PrSi at its relaxed geometry.

The raw total energy comes out at -5.85 eV/atom. As for the crystal system: orthorhombic.

The structure belongs to space group Pnma (No. 62); the cell edges are 8.322, 3.970 and 5.968 Å and the angles 90.00°, 90.00° and 90.00°. The distinct sites, in fractional coordinates, are Pr at (0.180, 0.250, 0.114) and Si at (0.034, 0.250, 0.620).



## Pr5Si4 (PBE-GGA)

Data for crystalline Pr5Si4 at its relaxed geometry.

The raw total energy comes out at -5.74 eV/atom. As for the crystal system: tetragonal.

The structure belongs to space group P4_12_12 (No. 92); the cell edges are 7.948, 7.948 and 15.284 Å and the angles 90.00°, 90.00° and 90.00°. The distinct sites, in fractional coordinates, are Pr at (0.011, 0.378, 0.052), Pr at (0.019, 0.873, 0.124), Pr at (0.191, 0.809, 0.750), Si at (0.078, 0.711, 0.940) and Si at (0.169, 0.196, 0.798).



## PrSi (PBE-GGA)

Data for crystalline PrSi at its relaxed geometry.

The raw total energy comes out at -5.51 eV/atom. As for the crystal system: cubic.

The structure belongs to space group Fm-3m (No. 225); the cell edges are 6.077, 6.077 and 6.077 Å and the angles 90.00°, 90.00° and 90.00°. The distinct sites, in fractional coordinates, are Pr at (0.000, 0.000, 0.000) and Si at (0.000, 0.000, 0.500).



## PrSi (PBE-GGA)

Data for crystalline PrSi at its relaxed geometry.

The raw total energy comes out at -5.28 eV/atom. As for the crystal system: hexagonal.

The structure belongs to space group P-6m2 (No. 187); the cell edges are 4.3308, 4.3308 and 3.4612 Å and the angles 90.00°, 90.00° and 120.00°. The distinct sites, in fractional coordinates, are Pr at (0.0000, 0.0000, 0.0000) and Si at (0.6667, 0.3333, 0.5000).



## PrSi (PBE-GGA)

Data for crystalline PrSi at its relaxed geometry.

The raw total energy comes out at -4.80 eV/atom. As for the crystal system: cubic.

The structure belongs to space group F-43m (No. 216); the cell edges are 6.700, 6.700 and 6.700 Å and the angles 90.00°, 90.00° and 90.00°. The distinct sites, in fractional coordinates, are Pr at (0.000, 0.000, 0.000) and Si at (0.250, 0.250, 0.750).



## PrSm2Zn4Si4 (PBE-GGA)

Data for crystalline PrSm2Zn4Si4 at its relaxed geometry.

The raw total energy comes out at -4.29 eV/atom. As for the crystal system: orthorhombic.

The structure belongs to space group Immm (No. 71); the cell edges are 4.159, 4.160 and 24.720 Å and the angles 90.00°, 90.00° and 90.00°. The distinct sites, in fractional coordinates, are Pr at (0.000, 0.000, 0.000), Sm at (0.000, 0.500, 0.145), Zn at (0.000, 0.000, 0.250), Zn at (0.000, 0.500, 0.405), Si at (0.000, 0.000, 0.452) and Si at (0.000, 0.500, 0.309).



## PrSiSn (PBE-GGA)

Data for crystalline PrSiSn at its relaxed geometry.

The raw total energy comes out at -4.92 eV/atom. As for the crystal system: cubic.

The structure belongs to space group F-43m (No. 216); the cell edges are 6.923, 6.923 and 6.923 Å and the angles 90.00°, 90.00° and 90.00°. The distinct sites, in fractional coordinates, are Pr at (0.000, 0.000, 0.000), Si at (0.250, 0.250, 0.250) and Sn at (0.000, 0.000, 0.500).



## Pr5Si2Sn (PBE-GGA)

Data for crystalline Pr5Si2Sn at its relaxed geometry.

The raw total energy comes out at -5.47 eV/atom. As for the crystal system: tetragonal.

The structure belongs to space group I4/mcm (No. 140); the cell edges are 7.990, 7.990 and 14.570 Å and the angles 90.00°, 90.00° and 90.00°. The distinct sites, in fractional coordinates, are Pr at (0.000, 0.000, 0.000), Pr at (0.175, 0.325, 0.139), Si at (0.117, 0.383, 0.500) and Sn at (0.000, 0.000, 0.250).



## SrPrSi3 (PBE-GGA)

Data for crystalline SrPrSi3 at its relaxed geometry.

The raw total energy comes out at -4.69 eV/atom. As for the crystal system: tetragonal.

The structure belongs to space group I4mm (No. 107); the cell edges are 4.172, 4.172 and 14.406 Å and the angles 90.00°, 90.00° and 90.00°. The distinct sites, in fractional coordinates, are Sr at (0.000, 0.000, 0.000), Pr at (0.000, 0.000, 0.685), Si at (0.000, 0.000, 0.439) and Si at (0.000, 0.500, 0.335).



## SrPrSi (PBE-GGA)

Data for crystalline SrPrSi at its relaxed geometry.

The raw total energy comes out at -4.27 eV/atom. As for the crystal system: cubic.

The structure belongs to space group F-43m (No. 216); the cell edges are 7.347, 7.347 and 7.347 Å and the angles 90.00°, 90.00° and 90.00°. The distinct sites, in fractional coordinates, are Sr at (0.000, 0.000, 0.000), Pr at (0.000, 0.000, 0.500) and Si at (0.250, 0.250, 0.750).



## SrPrZn2Si2 (PBE-GGA)

Data for crystalline SrPrZn2Si2 at its relaxed geometry.

The raw total energy comes out at -3.84 eV/atom. As for the crystal system: trigonal.

The structure belongs to space group P-3m1 (No. 164); the cell edges are 4.2378, 4.2378 and 8.8224 Å and the angles 90.00°, 90.00° and 120.00°. The distinct sites, in fractional coordinates, are Sr at (0.0000, 0.0000, 0.0000), Pr at (0.0000, 0.0000, 0.5000), Zn at (0.3333, 0.6667, 0.7326) and Si at (0.3333, 0.6667, 0.2638).



## PrTaSi (PBE-GGA)

Data for crystalline PrTaSi at its relaxed geometry.

The raw total energy comes out at -6.00 eV/atom. As for the crystal system: cubic.

The structure belongs to space group F-43m (No. 216); the cell edges are 6.919, 6.919 and 6.919 Å and the angles 90.00°, 90.00° and 90.00°. The distinct sites, in fractional coordinates, are Pr at (0.000, 0.000, 0.000), Ta at (0.250, 0.250, 0.250) and Si at (0.250, 0.250, 0.750).



## PrTaSi (PBE-GGA)

Data for crystalline PrTaSi at its relaxed geometry.

The raw total energy comes out at -7.14 eV/atom. As for the crystal system: cubic.

The structure belongs to space group F-43m (No. 216); the cell edges are 6.562, 6.562 and 6.562 Å and the angles 90.00°, 90.00° and 90.00°. The distinct sites, in fractional coordinates, are Pr at (0.000, 0.000, 0.000), Ta at (0.000, 0.000, 0.500) and Si at (0.250, 0.250, 0.250).



## PrSiTc (PBE-GGA)

Data for crystalline PrSiTc at its relaxed geometry.

The raw total energy comes out at -6.69 eV/atom. As for the crystal system: cubic.

The structure belongs to space group F-43m (No. 216); the cell edges are 6.424, 6.424 and 6.424 Å and the angles 90.00°, 90.00° and 90.00°. The distinct sites, in fractional coordinates, are Pr at (0.000, 0.000, 0.000), Si at (0.250, 0.250, 0.250) and Tc at (0.000, 0.000, 0.500).



## PrSi2Tc2 (PBE-GGA)

Data for crystalline PrSi2Tc2 at its relaxed geometry.

The raw total energy comes out at -7.85 eV/atom. As for the distance to the lowest polymorph of the same formula: 2 meV/atom. As for the crystal system: orthorhombic.

The structure belongs to space group Imma (No. 74); the cell edges are 4.136, 4.200 and 20.904 Å and the angles 90.00°, 90.00° and 90.00°. The distinct sites, in fractional coordinates, are Pr at (0.000, 0.250, 0.164), Si at (0.000, 0.250, 0.604), Si at (0.000, 0.250, 0.721), Tc at (0.000, 0.250, 0.462) and Tc at (0.000, 0.250, 0.964).



## PrSi2Tc (PBE-GGA)

Data for crystalline PrSi2Tc at its relaxed geometry.

The raw total energy comes out at -7.15 eV/atom. As for the crystal system: orthorhombic.

The structure belongs to space group Pnma (No. 62); the cell edges are 7.350, 4.020 and 10.289 Å and the angles 90.00°, 90.00° and 90.00°. The distinct sites, in fractional coordinates, are Pr at (0.144, 0.250, 0.125), Si at (0.162, 0.250, 0.812), Si at (0.197, 0.250, 0.425) and Tc at (0.011, 0.750, 0.392).



## PrSi2Tc4 (PBE-GGA)

Data for crystalline PrSi2Tc4 at its relaxed geometry.

The raw total energy comes out at -8.65 eV/atom. As for the crystal system: orthorhombic.

The structure belongs to space group Cmmm (No. 65); the cell edges are 4.149, 13.943 and 4.137 Å and the angles 90.00°, 90.00° and 90.00°. The distinct sites, in fractional coordinates, are Pr at (0.000, 0.000, 0.000), Si at (0.000, 0.409, 0.500), Tc at (0.000, 0.191, 0.500) and Tc at (0.000, 0.304, 0.000).



## Pr5SiTe4 (PBE-GGA)

Data for crystalline Pr5SiTe4 at its relaxed geometry.

The raw total energy comes out at -5.54 eV/atom. As for the crystal system: tetragonal.

The structure belongs to space group I4/m (No. 87); the cell edges are 10.080, 10.080 and 6.344 Å and the angles 90.00°, 90.00° and 90.00°. The distinct sites, in fractional coordinates, are Pr at (0.000, 0.000, 0.000), Pr at (0.095, 0.276, 0.500), Si at (0.000, 0.000, 0.500) and Te at (0.093, 0.304, 0.000).



## Pr4SiTe3 (PBE-GGA)

Data for crystalline Pr4SiTe3 at its relaxed geometry.

The raw total energy comes out at -5.57 eV/atom. As for the crystal system: orthorhombic.

The structure belongs to space group Cmmm (No. 65); the cell edges are 9.080, 12.718 and 4.445 Å and the angles 90.00°, 90.00° and 90.00°. The distinct sites, in fractional coordinates, are Pr at (0.000, 0.234, 0.000), Pr at (0.226, 0.000, 0.500), Si at (0.000, 0.000, 0.000), Te at (0.000, 0.500, 0.000) and Te at (0.250, 0.250, 0.500).



## PrUSi (PBE-GGA)

Data for crystalline PrUSi at its relaxed geometry.

The raw total energy comes out at -6.96 eV/atom. As for the distance to the lowest polymorph of the same formula: 0 meV/atom. As for the crystal system: cubic.

The structure belongs to space group F-43m (No. 216); the cell edges are 6.946, 6.946 and 6.946 Å and the angles 90.00°, 90.00° and 90.00°. The distinct sites, in fractional coordinates, are Pr at (0.000, 0.000, 0.000), U at (0.000, 0.000, 0.500) and Si at (0.250, 0.250, 0.250).